Density functional theory data (PBE-GGA) for a relaxed NbSeIN2 crystal.

## Properties
Total magnetic moment: 0.867 μB/cell
E: -5.8837 eV per atom
Raw formation energy: 0.4673 eV/atom
N(E_F): 2.3 states/eV/f.u.

```
NbSeIN2
1.0
4.0869 0.0000 0.0000
0.0000 4.0869 0.0000
0.0000 0.0000 5.7941
Nb Se I N
1 1 1 2
direct
0.0000 0.0000 0.0000
0.0000 0.0000 0.5000
0.5000 0.5000 0.5000
0.0000 0.5000 0.0000
0.5000 0.0000 0.0000
```